Entry 1:
# Tb2DyNi2

Tb2DyNi2 after structural relaxation (GGA-PBE, the Alexandria database).

Output
- DFT formation energy: -153 kJ/mol of formula units
- D(E_F): 4.4 states/eV/f.u.
- Space group: No. 127
- Total moment: 0.000 μB/atom

Cell lengths 3.8579, 7.5484, 7.5484 Å; angles 90.00, 90.00, 90.00 degrees
Closest atoms and distances in Å follow each position.
Positions (direct):
1 Dy 0.0000 0.5000 0.5000  4 Ni 3.00
2 Dy 0.0000 0.0000 0.0000  4 Ni 3.00
3 Ni 0.0000 0.6224 0.1224  1 Ni 2.61, 4 Tb 2.92
4 Ni 0.0000 0.1224 0.3776  1 Ni 2.61, 4 Tb 2.92
5 Ni 0.0000 0.3776 0.8776  1 Ni 2.61, 4 Tb 2.92
6 Ni 0.0000 0.8776 0.6224  1 Ni 2.61, 4 Tb 2.92
7 Tb 0.5000 0.8344 0.3344  6 Ni 2.92-2.97
8 Tb 0.5000 0.6656 0.8344  6 Ni 2.92-2.97
9 Tb 0.5000 0.3344 0.1656  6 Ni 2.92-2.97
10 Tb 0.5000 0.1656 0.6656  6 Ni 2.92-2.97

---

Entry 2:
# TaRe2As

TaRe2As after structural relaxation (GGA-PBE, the Alexandria database).

Output
- DFT formation energy: 49 kJ/mol of formula units
- D(E_F): 2.4 states/eV/f.u.
- Space group: No. 25
- Total moment: 0.000 μB/atom

Cell lengths 2.9195, 4.1289, 5.2399 Å; angles 90.00, 90.00, 90.00 degrees
Closest atoms and distances in Å follow each position.
Positions (direct):
1 Ta 0.0000 0.0000 0.5082  6 Re 2.62-2.92, 4 As 2.83, 2 Ta 2.92
2 Re 0.0000 0.0000 0.0084  2 Ta 2.62, 6 Re 2.78-2.92, 4 As 2.86
3 Re 0.5000 0.5000 0.2310  2 As 2.51-2.73, 4 Re 2.78
4 As 0.5000 0.5000 0.7523  2 Re 2.51-2.73

---

Entry 3:
# Sb2TeS5

Sb2TeS5 after structural relaxation (GGA-PBE, the Alexandria database).

Output
- Space group: No. 63
- Total moment: 0.000 μB/atom

Cell lengths 5.4384, 7.6893, 12.6553 Å; angles 90.00, 90.00, 110.71 degrees
Closest atoms and distances in Å follow each position.
Positions (direct):
1 S 0.0583 0.1166 0.3885  1 Te 2.39
2 S 0.9417 0.8834 0.8885  1 Te 2.39
3 S 0.9417 0.8834 0.6115  1 Te 2.39
4 S 0.0583 0.1166 0.1115  1 Te 2.39
5 S 0.6907 0.3814 0.5523  3 Sb 2.49-2.74
6 S 0.3093 0.6186 0.4477  3 Sb 2.49-2.74
7 S 0.2794 0.5588 0.7500  2 Te 2.81, 2 Sb 2.89
8 S 0.6907 0.3814 0.9477  3 Sb 2.49-2.74
9 S 0.7206 0.4412 0.2500  2 Te 2.81, 2 Sb 2.89
10 S 0.3093 0.6186 0.0523  3 Sb 2.49-2.74
11 Te 0.8291 0.6582 0.7500  2 S 2.39
12 Te 0.1709 0.3418 0.2500  2 S 2.39
13 Sb 0.8325 0.6650 0.4398  4 S 2.49-2.74
14 Sb 0.8325 0.6650 0.0602  4 S 2.49-2.74
15 Sb 0.1675 0.3350 0.5602  4 S 2.49-2.74
16 Sb 0.1675 0.3350 0.9398  4 S 2.49-2.74

---

Entry 4:
# SrAg2Au2

SrAg2Au2 after structural relaxation (GGA-PBE, the Alexandria database).

Output
- DFT formation energy: -136 kJ/mol of formula units
- D(E_F): 1.6 states/eV/f.u.
- Space group: No. 139
- Total moment: 0.000 μB/atom

Cell lengths 5.0267, 5.0267, 6.0401 Å; angles 65.41, 65.41, 90.00 degrees
Closest atoms and distances in Å follow each position.
Positions (direct):
1 Sr 0.0000 0.0000 0.0000  8 Au 3.50, 10 Ag 3.55-3.80
2 Ag 0.3633 0.3633 0.2733  1 Ag 2.67, 4 Au 2.75
3 Ag 0.6367 0.6367 0.7267  1 Ag 2.67, 4 Au 2.75
4 Au 0.7500 0.2500 0.5000  4 Ag 2.75
5 Au 0.2500 0.7500 0.5000  4 Ag 2.75

---

no.,E (eV per atom)
1,-5.4020
2,-10.2214
3,-4.0778
4,-3.0689